Entry 1:
The following is a DFT calculation (GGA-PBE) of TeBr3 after structural relaxation.

Summary:
As for the crystal system: cubic. For the relative energy among the computed polymorphs, the calculation gives 740 meV per atom. The total energy is -1.61 eV/atom. The value obtained for the uncorrected formation energy is 427 meV per atom.

Lattice parameters (Å, degrees): 4.7106 4.7106 4.7106 90.00 90.00 90.00
Last column: nearest neighbours and their distance in Å.
Space group Pm-3m (No. 221)
Symmetry-distinct sites (fractional):
1 Te 0.0000 0.0000 0.0000  12 Br 3.33
2 Br 0.0000 0.5000 0.5000  8 Br 3.33, 4 Te 3.33

---

Entry 2:
The following is a DFT calculation (GGA-PBE) of TeBr4 after structural relaxation.

Summary:
As for the crystal system: monoclinic. For the relative energy among the computed polymorphs, the calculation gives 0 meV per atom. The total energy is -2.32 eV/atom. The value obtained for the uncorrected formation energy is -356 meV per atom.

Lattice parameters (Å, degrees): 19.2536 11.2928 17.3423 90.00 116.02 90.00
Last column: nearest neighbours and their distance in Å.
Space group C2/c (No. 15)
Symmetry-distinct sites (fractional):
1 Te 0.0018 0.2371 0.3831  3 Br 2.54-2.55
2 Te 0.1319 0.4760 0.8125  3 Br 2.54-2.55
3 Br 0.0011 0.4908 0.8685  3 Te 3.06-3.08
4 Br 0.0026 0.0124 0.3719  1 Te 2.55
5 Br 0.1061 0.2478 0.0706  1 Te 2.54
6 Br 0.1119 0.2505 0.5329  1 Te 2.54
7 Br 0.1203 0.2507 0.8040  1 Te 2.55
8 Br 0.1197 0.2528 0.3074  3 Te 3.07-3.10
9 Br 0.2291 0.4905 0.7502  1 Te 2.54
10 Br 0.2309 0.4820 0.9692  1 Te 2.55